! ErPd3Au4 GGA-PBE relaxed; values from VASP
&SYSTEM
  ibrav = 0, nat = 8, ntyp = 3
/
ATOMIC_SPECIES
Er 167.26 Er.upf
Pd 106.42 Pd.upf
Au 196.97 Au.upf
CELL_PARAMETERS angstrom
8.454 -2.077 0.000
8.454 2.077 0.000
-1.021 0.000 4.043
ATOMIC_POSITIONS angstrom
Er 0.000 0.000 0.000
Pd 4.020 0.000 1.023
Pd 7.944 0.000 2.021
Pd 11.868 0.000 3.019
Au 1.547 0.000 2.544
Au 5.373 0.000 3.519
Au 10.515 0.000 0.523
Au 14.341 0.000 1.499
! * energy relative to the elements: -441.2 meV/atom
! * N(E_F): 0.525 states/eV per atom